Density functional theory data (PBE-GGA) for a relaxed structure of Er2Mn3Ga.

Cell: 5.256 5.256 5.256 Å, 61.05 61.05 61.05°
Positions (direct):
Ga 0.000 0.000 0.000
Mn 0.000 0.500 0.000
Er 0.376 0.376 0.376
Mn 0.500 0.000 0.000
Mn 0.000 0.000 0.500
Er 0.624 0.624 0.624

Output
Energy of formation from the pure elements: -0.0734 eV per atom
Mass density: 8.99 Mg/m³


Density functional theory data (PBE-GGA) for a relaxed structure of ErMn3Ga3.

Cell: 6.686 6.686 6.686 Å, 90.00 90.00 90.00°
Positions (direct):
Ga 0.500 0.000 0.750
Ga 0.750 0.500 0.000
Mn 0.000 0.500 0.750
Er 0.000 0.000 0.000
Ga 0.500 0.000 0.250
Mn 0.750 0.000 0.500
Er 0.500 0.500 0.500
Ga 0.250 0.500 0.000
Mn 0.250 0.000 0.500
Mn 0.500 0.750 0.000
Mn 0.000 0.500 0.250
Mn 0.500 0.250 0.000
Ga 0.000 0.250 0.500
Ga 0.000 0.750 0.500

Output
Energy of formation from the pure elements: 0.4740 eV per atom
Mass density: 6.01 Mg/m³


Density functional theory data (PBE-GGA) for a relaxed structure of ErMnGa4.

Cell: 5.630 6.144 7.565 Å, 87.58 90.00 117.26°
Positions (direct):
Mn 0.000 0.500 0.500
Er 0.374 0.000 0.250
Ga 0.586 0.485 0.663
Ga 0.913 0.102 0.390
Ga 0.414 0.515 0.337
Ga 0.899 0.485 0.163
Ga 0.087 0.898 0.610
Er 0.626 0.000 0.750
Ga 0.811 0.898 0.110
Mn 0.500 0.500 0.000
Ga 0.101 0.515 0.837
Ga 0.189 0.102 0.890

Output
Energy of formation from the pure elements: -0.1472 eV per atom
Mass density: 7.16 Mg/m³


Density functional theory data (PBE-GGA) for a relaxed structure of ErMn2Ga8.

Cell: 4.686 6.618 6.618 Å, 99.39 98.18 98.18°
Positions (direct):
Mn 0.000 0.289 0.711
Mn 0.000 0.711 0.289
Ga 0.500 0.705 0.295
Er 0.500 0.000 0.000
Ga 0.109 0.089 0.351
Ga 0.257 0.630 0.630
Ga 0.109 0.351 0.089
Ga 0.743 0.370 0.370
Ga 0.891 0.649 0.911
Ga 0.891 0.911 0.649
Ga 0.500 0.295 0.705

Output
Energy of formation from the pure elements: -0.1202 eV per atom
Mass density: 7.02 Mg/m³